YAlAg at its PBEsol-relaxed geometry. Source: the Alexandria database, functional meta-GGA SCAN.

abc: 6.726 6.726 6.726
angles: 90.00 90.00 90.00
Space group F-43m (No. 216)
Symmetry-distinct sites (fractional):
Y (0.000, 0.000, 0.000) [4 per cell]
Al (0.250, 0.250, 0.250) [4 per cell]
Ag (0.250, 0.250, 0.750) [4 per cell]

## Properties
V   304 Å³ per cell
Total magnetization   0.000 μB/f.u.
Electronic total energy   -22.01 eV/atom
Formation energy from the elements   314 meV/atom

Tb2B4C at its PBEsol-relaxed geometry. Source: the Alexandria database, functional meta-GGA SCAN.

abc: 3.256 6.541 7.533
angles: 90.00 90.00 90.00
Space group Immm (No. 71)
Symmetry-distinct sites (fractional):
Tb (0.000, 0.000, 0.235) [4 per cell]
B (0.000, 0.272, 0.500) [4 per cell]
B (0.000, 0.365, 0.000) [4 per cell]
C (0.000, 0.500, 0.500) [2 per cell]

## Properties
V   160 Å³ per cell
Total magnetization   0.000 μB/f.u.
Electronic total energy   -19.69 eV/atom
Formation energy from the elements   -644 meV/atom

V2P3O11 at its PBEsol-relaxed geometry. Source: the Alexandria database, functional meta-GGA SCAN.

abc: 11.531 8.419 8.808
angles: 90.00 113.69 90.00
Space group C2/c (No. 15)
Symmetry-distinct sites (fractional):
V (0.127, 0.236, 0.038) [8 per cell]
P (0.000, 0.041, 0.250) [4 per cell]
P (0.108, 0.438, 0.709) [8 per cell]
O (0.000, 0.477, 0.250) [4 per cell]
O (0.042, 0.323, 0.567) [8 per cell]
O (0.079, 0.062, 0.899) [8 per cell]
O (0.092, 0.144, 0.207) [8 per cell]
O (0.182, 0.432, 0.170) [8 per cell]
O (0.190, 0.345, 0.870) [8 per cell]

## Properties
V   783 Å³ per cell
Total magnetization   3.000 μB/f.u.
Energy relative to the elements, uncorrected   -2.53 eV/atom
Electronic total energy   -10.95 eV/atom

MgCoAu2 at its PBEsol-relaxed geometry. Source: the Alexandria database, functional meta-GGA SCAN.

abc: 3.883 3.883 8.079
angles: 90.00 90.00 90.00
Space group I-4m2 (No. 119)
Symmetry-distinct sites (fractional):
Mg (0.000, 0.000, 0.000) [2 per cell]
Co (0.000, 0.500, 0.250) [2 per cell]
Au (0.000, 0.000, 0.500) [2 per cell]
Au (0.000, 0.500, 0.750) [2 per cell]

## Properties
V   122 Å³ per cell
Total magnetization   1.905 μB/f.u.
Electronic total energy   -40.47 eV/atom
Formation energy from the elements   -325 meV/atom

TlRe2 at its PBEsol-relaxed geometry. Source: the Alexandria database, functional meta-GGA SCAN.

abc: 2.929 3.801 8.979
angles: 90.00 90.00 90.00
Space group Immm (No. 71)
Symmetry-distinct sites (fractional):
Tl (0.000, 0.000, 0.000) [2 per cell]
Re (0.000, 0.000, 0.315) [4 per cell]

## Properties
V   100 Å³ per cell
Total magnetization   0.000 μB/f.u.
Energy above the lowest structure with this stoichiometry   22.72 kJ/mol of atoms
Electronic total energy   -70.63 eV/atom
Formation energy from the elements   890 meV/atom

ReTcP2 at its PBEsol-relaxed geometry. Source: the Alexandria database, functional meta-GGA SCAN.

abc: 6.023 6.023 6.023
angles: 90.00 90.00 90.00
Space group F-43m (No. 216)
Symmetry-distinct sites (fractional):
Re (0.000, 0.000, 0.000) [4 per cell]
Tc (0.250, 0.250, 0.250) [4 per cell]
P (0.000, 0.000, 0.500) [4 per cell]
P (0.250, 0.250, 0.750) [4 per cell]

## Properties
V   218 Å³ per cell
Total magnetization   0.000 μB/f.u.
Energy above the lowest structure with this stoichiometry   78.37 kJ/mol of atoms
Electronic total energy   -31.09 eV/atom
Formation energy from the elements   647 meV/atom

NaBiOs3 at its PBEsol-relaxed geometry. Source: the Alexandria database, functional meta-GGA SCAN.

abc: 4.517 4.517 4.517
angles: 90.00 90.00 90.00
Space group Pm-3m (No. 221)
Symmetry-distinct sites (fractional):
Na (0.000, 0.000, 0.000) [1 per cell]
Bi (0.500, 0.500, 0.500) [1 per cell]
Os (0.000, 0.000, 0.500) [3 per cell]

## Properties
V   92 Å³ per cell
Total magnetization   1.947 μB/f.u.
Electronic total energy   -56.72 eV/atom
Formation energy from the elements   2964 meV/atom

KPd3Cl at its PBEsol-relaxed geometry. Source: the Alexandria database, functional meta-GGA SCAN.

abc: 4.624 4.624 4.624
angles: 90.00 90.00 90.00
Space group Pm-3m (No. 221)
Symmetry-distinct sites (fractional):
K (0.000, 0.000, 0.000) [1 per cell]
Pd (0.000, 0.500, 0.500) [3 per cell]
Cl (0.500, 0.500, 0.500) [1 per cell]

## Properties
V   99 Å³ per cell
Total magnetization   0.000 μB/f.u.
Energy relative to the elements, uncorrected   0.09 eV/atom
Electronic total energy   -22.84 eV/atom

NaSbSe2 at its PBEsol-relaxed geometry. Source: the Alexandria database, functional meta-GGA SCAN.

abc: 4.0851 4.0851 21.0479
angles: 90.00 90.00 120.00
Space group R-3m (No. 166, hexagonal axes)
Symmetry-distinct sites (fractional):
Na (0.0000, 0.0000, 0.0000) [3 per cell]
Sb (0.0000, 0.0000, 0.5000) [3 per cell]
Se (0.0000, 0.0000, 0.2444) [6 per cell]

## Properties
V   304 Å³ per cell
Total magnetization   0.000 μB/f.u.
Energy relative to the elements, uncorrected   -0.70 eV/atom
Electronic total energy   -21.11 eV/atom

FeCo2 at its PBEsol-relaxed geometry. Source: the Alexandria database, functional meta-GGA SCAN.

abc: 2.766 2.766 8.436
angles: 90.00 90.00 90.00
Space group P4/nmm (No. 129, origin choice 2)
Symmetry-distinct sites (fractional):
Fe (0.250, 0.250, 0.087) [2 per cell]
Co (0.250, 0.250, 0.420) [2 per cell]
Co (0.250, 0.250, 0.750) [2 per cell]

## Properties
V   65 Å³ per cell
Total magnetization   6.470 μB/f.u.
Electronic total energy   -17.66 eV/atom
Formation energy from the elements   -85 meV/atom

LaCoIr at its PBEsol-relaxed geometry. Source: the Alexandria database, functional meta-GGA SCAN.

abc: 4.0752 4.0752 4.1771
angles: 90.00 90.00 120.00
Space group P-6m2 (No. 187)
Symmetry-distinct sites (fractional):
La (0.0000, 0.0000, 0.0000) [1 per cell]
Co (0.3333, 0.6667, 0.5000) [1 per cell]
Ir (0.6667, 0.3333, 0.5000) [1 per cell]

## Properties
V   60 Å³ per cell
Total magnetization   1.173 μB/f.u.
Electronic total energy   -44.30 eV/atom
Formation energy from the elements   -466 meV/atom

ScInP2 at its PBEsol-relaxed geometry. Source: the Alexandria database, functional meta-GGA SCAN.

abc: 3.492 4.467 4.482
angles: 90.00 90.00 90.00
Space group Pmmm (No. 47)
Symmetry-distinct sites (fractional):
Sc (0.000, 0.000, 0.000) [1 per cell]
In (0.000, 0.500, 0.500) [1 per cell]
P (0.500, 0.000, 0.500) [1 per cell]
P (0.500, 0.500, 0.000) [1 per cell]

## Properties
V   70 Å³ per cell
Total magnetization   0.000 μB/f.u.
Electronic total energy   -17.50 eV/atom
Formation energy from the elements   -395 meV/atom

KCr2Cu at its PBEsol-relaxed geometry. Source: the Alexandria database, functional meta-GGA SCAN.

abc: 2.9624 2.9624 29.5264
angles: 90.00 90.00 120.00
Space group R-3m (No. 166, hexagonal axes)
Symmetry-distinct sites (fractional):
K (0.0000, 0.0000, 0.0000) [3 per cell]
Cr (0.0000, 0.0000, 0.2318) [6 per cell]
Cu (0.0000, 0.0000, 0.5000) [3 per cell]

## Properties
V   224 Å³ per cell
Total magnetization   8.587 μB/f.u.
Energy above the lowest structure with this stoichiometry   35.89 kJ/mol of atoms
Electronic total energy   -14.18 eV/atom
Formation energy from the elements   895 meV/atom

LiTcPb3 at its PBEsol-relaxed geometry. Source: the Alexandria database, functional meta-GGA SCAN.

abc: 5.302 5.302 5.302
angles: 90.00 90.00 90.00
Space group Pm-3m (No. 221)
Symmetry-distinct sites (fractional):
Li (0.000, 0.000, 0.000) [1 per cell]
Tc (0.500, 0.500, 0.500) [1 per cell]
Pb (0.000, 0.500, 0.500) [3 per cell]

## Properties
V   149 Å³ per cell
Total magnetization   0.010 μB/f.u.
Electronic total energy   -52.63 eV/atom
Formation energy from the elements   328 meV/atom

LaY at its PBEsol-relaxed geometry. Source: the Alexandria database, functional meta-GGA SCAN.

abc: 3.5943 3.5943 11.6471
angles: 90.00 90.00 120.00
Space group P-3m1 (No. 164)
Symmetry-distinct sites (fractional):
La (0.3333, 0.6667, 0.3680) [2 per cell]
Y (0.3333, 0.6667, 0.8810) [2 per cell]

## Properties
V   130 Å³ per cell
Total magnetization   0.001 μB/f.u.
Energy above the lowest structure with this stoichiometry   2.15 kJ/mol of atoms
Electronic total energy   -35.44 eV/atom
Formation energy from the elements   37 meV/atom

MgSc at its PBEsol-relaxed geometry. Source: the Alexandria database, functional meta-GGA SCAN.

abc: 4.501 4.501 9.061
angles: 90.00 90.00 90.00
Space group I4_1/amd (No. 141, origin choice 2)
Symmetry-distinct sites (fractional):
Mg (0.000, 0.250, 0.375) [4 per cell]
Sc (0.000, 0.250, 0.875) [4 per cell]

## Properties
V   184 Å³ per cell
Total magnetization   0.276 μB/f.u.
Electronic total energy   -9.54 eV/atom
Formation energy from the elements   62 meV/atom

CaCoOs2Se at its PBEsol-relaxed geometry. Source: the Alexandria database, functional meta-GGA SCAN.

abc: 4.484 4.484 5.071
angles: 90.00 90.00 90.00
Space group P4/mmm (No. 123)
Symmetry-distinct sites (fractional):
Ca (0.000, 0.000, 0.000) [1 per cell]
Co (0.500, 0.500, 0.000) [1 per cell]
Os (0.000, 0.500, 0.500) [2 per cell]
Se (0.000, 0.000, 0.500) [1 per cell]

## Properties
V   102 Å³ per cell
Total magnetization   2.411 μB/f.u.
Energy relative to the elements, uncorrected   1.35 eV/atom
Electronic total energy   -36.81 eV/atom

BaZr2 at its PBEsol-relaxed geometry. Source: the Alexandria database, functional meta-GGA SCAN.

abc: 5.4546 5.4546 3.2039
angles: 90.00 90.00 120.00
Space group P6/mmm (No. 191)
Symmetry-distinct sites (fractional):
Ba (0.0000, 0.0000, 0.0000) [1 per cell]
Zr (0.3333, 0.6667, 0.5000) [2 per cell]

## Properties
V   83 Å³ per cell
Total magnetization   0.000 μB/f.u.
Energy above the lowest structure with this stoichiometry   22.38 kJ/mol of atoms
Electronic total energy   -32.91 eV/atom
Formation energy from the elements   743 meV/atom

CeHfO4 at its PBEsol-relaxed geometry. Source: the Alexandria database, functional meta-GGA SCAN.

abc: 7.113 10.820 5.177
angles: 90.00 131.35 90.00
Space group C2/c (No. 15)
Symmetry-distinct sites (fractional):
Ce (0.000, 0.134, 0.250) [4 per cell]
Hf (0.000, 0.400, 0.750) [4 per cell]
O (0.178, 0.278, 0.677) [8 per cell]
O (0.241, 0.477, 0.233) [8 per cell]

## Properties
V   299 Å³ per cell
Total magnetization   0.000 μB/f.u.
Energy relative to the elements, uncorrected   -3.76 eV/atom
Electronic total energy   -25.79 eV/atom

In2RePb at its PBEsol-relaxed geometry. Source: the Alexandria database, functional meta-GGA SCAN.

abc: 3.564 5.058 9.344
angles: 90.00 90.00 90.00
Space group Immm (No. 71)
Symmetry-distinct sites (fractional):
In (0.000, 0.000, 0.230) [4 per cell]
Re (0.000, 0.500, 0.500) [2 per cell]
Pb (0.000, 0.500, 0.000) [2 per cell]

## Properties
V   168 Å³ per cell
Total magnetization   0.620 μB/f.u.
Energy above the lowest structure with this stoichiometry   38.67 kJ/mol of atoms
Electronic total energy   -52.60 eV/atom
Formation energy from the elements   815 meV/atom

LiSN2F at its PBEsol-relaxed geometry. Source: the Alexandria database, functional meta-GGA SCAN.

abc: 3.267 3.267 5.292
angles: 90.00 90.00 90.00
Space group P4/mmm (No. 123)
Symmetry-distinct sites (fractional):
Li (0.000, 0.000, 0.000) [1 per cell]
S (0.500, 0.500, 0.500) [1 per cell]
N (0.000, 0.500, 0.500) [2 per cell]
F (0.500, 0.500, 0.000) [1 per cell]

## Properties
V   56 Å³ per cell
Total magnetization   0.000 μB/f.u.
Energy above the lowest structure with this stoichiometry   0.00 kJ/mol of atoms
Energy relative to the elements, uncorrected   0.21 eV/atom
Electronic total energy   -6.61 eV/atom

MnHg3S4 at its PBEsol-relaxed geometry. Source: the Alexandria database, functional meta-GGA SCAN.

abc: 4.0960 4.0960 39.9061
angles: 90.00 90.00 120.00
Space group R3m (No. 160, hexagonal axes)
Symmetry-distinct sites (fractional):
Mn (0.0000, 0.0000, 0.0000) [3 per cell]
Hg (0.0000, 0.0000, 0.2547) [3 per cell]
Hg (0.0000, 0.0000, 0.5016) [3 per cell]
Hg (0.0000, 0.0000, 0.7488) [3 per cell]
S (0.0000, 0.0000, 0.0589) [3 per cell]
S (0.0000, 0.0000, 0.3184) [3 per cell]
S (0.0000, 0.0000, 0.5650) [3 per cell]
S (0.0000, 0.0000, 0.8121) [3 per cell]

## Properties
V   580 Å³ per cell
Total magnetization   4.997 μB/f.u.
Energy relative to the elements, uncorrected   -0.38 eV/atom
Electronic total energy   -33.04 eV/atom

BeSiPt2 at its PBEsol-relaxed geometry. Source: the Alexandria database, functional meta-GGA SCAN.

abc: 3.736 3.736 3.796
angles: 90.00 90.00 90.00
Space group P-4m2 (No. 115)
Symmetry-distinct sites (fractional):
Be (0.000, 0.000, 0.000) [1 per cell]
Si (0.500, 0.500, 0.000) [1 per cell]
Pt (0.000, 0.500, 0.615) [2 per cell]

## Properties
V   53 Å³ per cell
Total magnetization   0.000 μB/f.u.
Energy relative to the elements, uncorrected   -0.77 eV/atom
Electronic total energy   -39.46 eV/atom

AlCoO2 at its PBEsol-relaxed geometry. Source: the Alexandria database, functional meta-GGA SCAN.

abc: 4.479 4.479 8.434
angles: 90.00 90.00 90.00
Space group I-42d (No. 122)
Symmetry-distinct sites (fractional):
Al (0.000, 0.000, 0.000) [4 per cell]
Co (0.000, 0.000, 0.500) [4 per cell]
O (0.197, 0.250, 0.125) [8 per cell]

## Properties
V   169 Å³ per cell
Total magnetization   2.093 μB/f.u.
Energy relative to the elements, uncorrected   -1.96 eV/atom
Electronic total energy   -11.34 eV/atom

LiAl2 at its PBEsol-relaxed geometry. Source: the Alexandria database, functional meta-GGA SCAN.

abc: 7.587 7.587 7.587
angles: 90.00 90.00 90.00
Space group Fd-3m (No. 227, origin choice 2)
Symmetry-distinct sites (fractional):
Li (0.125, 0.125, 0.125) [8 per cell]
Al (0.000, 0.000, 0.500) [16 per cell]

## Properties
V   437 Å³ per cell
Total magnetization   0.000 μB/f.u.
Energy above the lowest structure with this stoichiometry   7.41 kJ/mol of atoms
Electronic total energy   -5.98 eV/atom
Formation energy from the elements   -15 meV/atom

InSi2PdPt at its PBEsol-relaxed geometry. Source: the Alexandria database, functional meta-GGA SCAN.

abc: 4.489 4.489 5.221
angles: 90.00 90.00 90.00
Space group P4/mmm (No. 123)
Symmetry-distinct sites (fractional):
In (0.000, 0.000, 0.000) [1 per cell]
Si (0.000, 0.500, 0.500) [2 per cell]
Pd (0.500, 0.500, 0.000) [1 per cell]
Pt (0.500, 0.500, 0.500) [1 per cell]

## Properties
V   105 Å³ per cell
Total magnetization   0.000 μB/f.u.
Energy relative to the elements, uncorrected   0.24 eV/atom
Electronic total energy   -31.04 eV/atom